No. 1
VASP calculation (PBE-GGA) on a geometry-optimized ZrZn structure.

Summary:
Its density of states at the Fermi level is 0.54 states/eV per atom. As for the volume: 82 Å³ per cell. As for the total energy: -4.8326 eV per atom. The space group is No. 194.

a = 4.453 Å, b = 4.453 Å, c = 4.767 Å
α = 90.00°, β = 90.00°, γ = 120.00°
Atoms (fractional coordinates):
Zr: 0.333 0.667 0.250
Zr: 0.667 0.333 0.750
Zn: 0.000 0.000 0.000
Zn: 0.000 0.000 0.500



No. 2
VASP calculation (PBE-GGA) on a geometry-optimized Dy4Ho4Th3 structure.

Summary:
Its density of states at the Fermi level is 1.65 states/eV per atom. As for the volume: 351 Å³ per cell. As for the total energy: -5.3070 eV per atom. The space group is No. 2.

a = 3.555 Å, b = 5.685 Å, c = 17.608 Å
α = 99.29°, β = 90.02°, γ = 90.01°
Atoms (fractional coordinates):
Dy: 0.001 0.280 0.060
Dy: 0.001 0.902 0.304
Dy: 0.999 0.098 0.696
Dy: 0.999 0.720 0.940
Ho: 0.001 0.454 0.408
Ho: 0.499 0.190 0.879
Ho: 0.501 0.810 0.121
Ho: 0.999 0.546 0.592
Th: 0.499 0.631 0.762
Th: 0.500 0.000 0.500
Th: 0.501 0.369 0.238



No. 3
VASP calculation (PBE-GGA) on a geometry-optimized Li2GeI4 structure.

Summary:
Its density of states at the Fermi level is 0.00 states/eV per atom. As for the volume: 249 Å³ per cell. As for the energy above the most stable polymorph in this dataset: 0 meV/atom. As for the total energy: -2.8830 eV per atom. The space group is No. 12. The value obtained for the formation energy from raw total energies is -0.791 eV per atom.

a = 7.686 Å, b = 7.686 Å, c = 7.754 Å
α = 103.25°, β = 103.25°, γ = 34.00°
Atoms (fractional coordinates):
Li: 0.174 0.174 0.089
Li: 0.826 0.826 0.911
Ge: 0.500 0.500 0.500
I: 0.119 0.119 0.405
I: 0.371 0.371 0.124
I: 0.629 0.629 0.876
I: 0.881 0.881 0.595



No. 4
VASP calculation (PBE-GGA) on a geometry-optimized Cr2OsRu structure.

Summary:
Its density of states at the Fermi level is 1.04 states/eV per atom. As for the volume: 52 Å³ per cell. As for the energy above the most stable polymorph in this dataset: 0 meV/atom. As for the total energy: -9.8438 eV per atom. The space group is No. 6.

a = 2.680 Å, b = 3.968 Å, c = 5.070 Å
α = 90.00°, β = 105.19°, γ = 90.00°
Atoms (fractional coordinates):
Cr: 0.000 0.000 0.000
Cr: 0.112 0.500 0.256
Os: 0.726 0.000 0.469
Ru: 0.386 0.500 0.785